A plane-wave DFT calculation with PBE was carried out for a geometry-optimized ZrMnAl structure.

Lattice parameters (Å, degrees): 5.1722 5.1722 5.1722 91.30 118.97 119.53
With the nearest neighbours (Å) after each atom.
Sites, in units of the cell vectors:
Al  0.5000  0.5000  0.5000  4 Mn 2.59, 2 Al 2.63
Al  0.0000  0.5000  0.0000  4 Mn 2.59, 2 Al 2.63
Zr  0.2500  0.1176  0.8676  6 Mn 2.96-3.08, 6 Al 3.04-3.06, 4 Zr 3.13-3.23
Zr  0.7500  0.8824  0.1324  6 Mn 2.96-3.08, 6 Al 3.04-3.06, 4 Zr 3.13-3.23
Mn  0.0000  0.5000  0.5000  4 Al 2.59, 2 Mn 2.60
Mn  0.5000  0.0000  0.5000  4 Al 2.59, 2 Mn 2.60

Values from the calculation:
Fermi-level density of states: 1.08 states/eV/atom
E_tot: -7.499 eV per atom
Space-group type: No. 74
Energy of formation from the pure elements: -345 meV/atom